The following is a DFT calculation (PBE-GGA) of an optimized crystal structure of Ti13Tl3.

Lattice parameters (Å, degrees): 6.2861 6.2861 7.4005 90.00 90.00 90.14
Each line ends with the local moment (μB).
Fractional positions:
Ti 0.4954 0.9814 0.2533  0.23
Ti 0.4954 0.9814 0.7467  0.23
Ti 0.4859 0.5141 0.7467  -0.10
Ti 0.0186 0.5046 0.2533  0.23
Ti 0.7350 0.7325 0.5000  -0.01
Ti 0.7404 0.7436 0.0000  0.37
Ti 0.2564 0.2596 0.0000  0.37
Ti 0.2675 0.2650 0.5000  -0.01
Ti 0.4859 0.5141 0.2533  -0.10
Ti 0.7347 0.2653 0.5000  0.18
Ti 0.0186 0.5046 0.7467  0.23
Ti 0.2599 0.7401 0.0000  -0.11
Ti 0.2639 0.7361 0.5000  0.04
Tl 0.7359 0.2641 0.0000  -0.01
Tl 0.0033 0.9967 0.2589  0.00
Tl 0.0033 0.9967 0.7411  0.00

Summary:
The total energy is -6.803 eV per atom. The formation energy is 55 meV/atom.